# 1
## Dy4SiSe3 (PBE-GGA)

Data for a geometry-optimized Dy4SiSe3 structure.

Values from the calculation:
- formation energy without anion corrections (meV/atom) = -1590
- N(E_F) (states/eV/cell) = 7.558
- V (Å³ per atom) = 24.42

a b c (Å): 7.118 8.228 7.078
angles (deg): 90.00 109.51 90.00
Space group P2/c (No. 13)
Symmetry-distinct sites (fractional):
Dy: 0.237 0.117 0.001 (multiplicity 4)
Dy: 0.241 0.362 0.488 (multiplicity 4)
Si: 0.000 0.124 0.250 (multiplicity 2)
Se: 0.000 0.378 0.750 (multiplicity 2)
Se: 0.500 0.128 0.750 (multiplicity 2)
Se: 0.500 0.380 0.250 (multiplicity 2)



# 2
## LiBeAu (PBE-GGA)

Data for a geometry-optimized LiBeAu structure.

Values from the calculation:
- polymorph energy (0 for the lowest one) (meV per atom) = 88.1
- N(E_F) (states/eV/cell) = 3.049
- V (Å³ per atom) = 14.40

a b c (Å): 5.570 5.570 5.570
angles (deg): 90.00 90.00 90.00
Space group F-43m (No. 216)
Symmetry-distinct sites (fractional):
Li: 0.000 0.000 0.000 (multiplicity 4)
Be: 0.250 0.250 0.750 (multiplicity 4)
Au: 0.000 0.000 0.500 (multiplicity 4)



> Which value of N(E_F) does entry 2 give?

3.049 states/eV/cell



> V of number 1 (Dy4SiSe3)?

24.42 Å³ per atom